The following is a PBE-GGA calculation of a geometry-optimized Pm2CoGe structure, from Alexandria via LeMat-Bulk.

Lattice parameters (Å, degrees): 4.1034 4.1900 10.7113 90.00 90.00 90.00
With the nearest neighbours (Å) after each atom.
Space group Amm2 (No. 38)
Unique sites:
Pm1 0.0000 0.0000 0.0000 x2  4 Ge 3.05, 3 Co 3.08-3.09
Pm2 0.5000 0.0000 0.2808 x2  3 Ge 3.02-3.18, 4 Co 3.02
Co1 0.0000 0.0000 0.7126 x2  2 Ge 2.51
Ge1 0.5000 0.0000 0.5776 x2  2 Co 2.51

Output
Spin magnetization: 0.0 μB per formula unit
Energy of formation from the pure elements: -1.888 eV/f.u.
Calculated total energy: -0.4247 Ry/atom